Record 1
Density functional theory data (PBE-GGA) for an optimized crystal structure of K2TlHgPd.

Values from the calculation:
Final energy (eV/atom): -2.079
ΔH_f (0 K) (eV per atom): -0.067

abc: 6.1706 6.1706 5.3016
angles: 90.00 90.00 90.00
Space group P4/mmm (No. 123)
Unique sites:
K1 0.0000 0.5000 0.0000 (multiplicity 2)
Tl1 0.0000 0.0000 0.5000 (multiplicity 1)
Hg1 0.5000 0.5000 0.5000 (multiplicity 1)
Pd1 0.0000 0.0000 0.0000 (multiplicity 1)

=====

Record 2
Density functional theory data (PBE-GGA) for an optimized crystal structure of KTl2HgPd.

Values from the calculation:
Final energy (eV/atom): -2.345
ΔH_f (0 K) (eV per atom): -0.080

abc: 5.3287 5.3287 6.1235
angles: 90.00 90.00 90.00
Space group P4/mmm (No. 123)
Unique sites:
K1 0.0000 0.0000 0.0000 (multiplicity 1)
Tl1 0.0000 0.5000 0.5000 (multiplicity 2)
Hg1 0.5000 0.5000 0.0000 (multiplicity 1)
Pd1 0.0000 0.0000 0.5000 (multiplicity 1)

=====

Record 3
Density functional theory data (PBE-GGA) for an optimized crystal structure of K2TlHg6Pd.

Values from the calculation:
Final energy (eV/atom): -1.301
ΔH_f (0 K) (eV per atom): -0.145

abc: 6.3564 7.7187 7.9109
angles: 83.76 66.86 66.22
Space group P-1 (No. 2)
Unique sites:
K1 0.0255 0.2376 0.2165 (multiplicity 2)
Tl1 0.5000 0.5000 0.0000 (multiplicity 1)
Hg1 0.0186 0.2114 0.7368 (multiplicity 2)
Hg2 0.3674 0.3781 0.4040 (multiplicity 2)
Hg3 0.4767 0.7935 0.2496 (multiplicity 2)
Pd1 0.5000 0.0000 0.5000 (multiplicity 1)

=====

Record 4
Density functional theory data (PBE-GGA) for an optimized crystal structure of KTl2HgPd.

Values from the calculation:
Final energy (eV/atom): -2.396
ΔH_f (0 K) (eV per atom): -0.131

abc: 5.3906 5.3906 5.4628
angles: 90.00 90.00 90.00
Space group P4/mmm (No. 123)
Unique sites:
K1 0.0000 0.0000 0.0000 (multiplicity 1)
Tl1 0.0000 0.5000 0.5000 (multiplicity 2)
Hg1 0.5000 0.5000 0.0000 (multiplicity 1)
Pd1 0.5000 0.5000 0.5000 (multiplicity 1)

=====

Record 5
Density functional theory data (PBE-GGA) for an optimized crystal structure of K2TlHg2Pd.

Values from the calculation:
Final energy (eV/atom): -1.883
ΔH_f (0 K) (eV per atom): -0.156

abc: 8.5261 13.9792 6.8299
angles: 90.00 90.00 90.00
Space group Ibam (No. 72)
Unique sites:
K1 0.1851 0.1728 0.0000 (multiplicity 8)
Tl1 0.0000 0.5000 0.2500 (multiplicity 4)
Hg1 0.2206 0.0810 0.5000 (multiplicity 8)
Pd1 0.0000 0.0000 0.2500 (multiplicity 4)

=====

Record 6
Density functional theory data (PBE-GGA) for an optimized crystal structure of KPmHg6.

Values from the calculation:
Final energy (eV/atom): -1.214
ΔH_f (0 K) (eV per atom): -0.257

abc: 5.3323 7.0702 5.6936
angles: 90.00 90.00 90.00
Space group Pmm2 (No. 25)
Unique sites:
K1 0.0000 0.0000 0.0000 (multiplicity 1)
Pm1 0.5000 0.5000 0.3188 (multiplicity 1)
Hg1 0.0000 0.2642 0.4922 (multiplicity 2)
Hg2 0.0000 0.5000 0.9874 (multiplicity 1)
Hg3 0.5000 0.0000 0.3910 (multiplicity 1)
Hg4 0.5000 0.2660 0.8355 (multiplicity 2)

=====

Record 7
Density functional theory data (PBE-GGA) for an optimized crystal structure of KPm2Hg3.

Values from the calculation:
Final energy (eV/atom): -2.296
ΔH_f (0 K) (eV per atom): -0.379

abc: 3.8328 3.8328 12.3362
angles: 90.00 90.00 90.00
Space group P4/mmm (No. 123)
Unique sites:
K1 0.0000 0.0000 0.0000 (multiplicity 1)
Pm1 0.0000 0.0000 0.3446 (multiplicity 2)
Hg1 0.5000 0.5000 0.2036 (multiplicity 2)
Hg2 0.5000 0.5000 0.5000 (multiplicity 1)

=====

Record 8
Density functional theory data (PBE-GGA) for an optimized crystal structure of KPm2HgSe4.

Values from the calculation:
ΔE_f (raw) (eV per atom): -1.32
Final energy (eV/atom): -4.426

abc: 4.3602 14.3816 15.2182
angles: 90.00 90.00 90.00
Space group Cmcm (No. 63)
Unique sites:
K1 0.0000 0.1292 0.2500 (multiplicity 4)
Pm1 0.0000 0.3742 0.0602 (multiplicity 8)
Hg1 0.0000 0.1536 0.7500 (multiplicity 4)
Se1 0.0000 0.0000 0.0000 (multiplicity 4)
Se2 0.0000 0.2654 0.6039 (multiplicity 8)
Se3 0.0000 0.4563 0.2500 (multiplicity 4)

=====

Record 9
Density functional theory data (PBE-GGA) for an optimized crystal structure of K2PmHg2Se4.

Values from the calculation:
ΔE_f (raw) (eV per atom): -0.97
Final energy (eV/atom): -3.361

abc: 16.5828 4.2594 8.3714
angles: 90.00 113.82 90.00
Space group C2/m (No. 12)
Unique sites:
K1 0.1258 0.0000 0.0677 (multiplicity 4)
Pm1 0.0000 0.0000 0.5000 (multiplicity 2)
Hg1 0.1903 0.5000 0.5233 (multiplicity 4)
Se1 0.0216 0.5000 0.2696 (multiplicity 4)
Se2 0.1915 0.0000 0.7380 (multiplicity 4)

=====

Record 10
Density functional theory data (PBE-GGA) for an optimized crystal structure of KPmTlHg.

Values from the calculation:
Final energy (eV/atom): -2.275
ΔH_f (0 K) (eV per atom): -0.146

abc: 7.8915 7.8915 7.8915
angles: 90.00 90.00 90.00
Space group F-43m (No. 216)
Unique sites:
K1 0.0000 0.0000 0.0000 (multiplicity 4)
Pm1 0.0000 0.0000 0.5000 (multiplicity 4)
Tl1 0.2500 0.2500 0.2500 (multiplicity 4)
Hg1 0.2500 0.2500 0.7500 (multiplicity 4)

=====

Record 11
Density functional theory data (PBE-GGA) for an optimized crystal structure of KPr4Hg5.

Values from the calculation:
Final energy (eV/atom): -2.586
ΔH_f (0 K) (eV per atom): -0.414

abc: 3.8736 3.8736 20.1612
angles: 90.00 90.00 90.00
Space group P4/mmm (No. 123)
Unique sites:
K1 0.0000 0.0000 0.0000 (multiplicity 1)
Pr1 0.0000 0.0000 0.2134 (multiplicity 2)
Pr2 0.0000 0.0000 0.4048 (multiplicity 2)
Hg1 0.5000 0.5000 0.1240 (multiplicity 2)
Hg2 0.5000 0.5000 0.3092 (multiplicity 2)
Hg3 0.5000 0.5000 0.5000 (multiplicity 1)

=====

Record 12
Density functional theory data (PBE-GGA) for an optimized crystal structure of KPr2Hg3.

Values from the calculation:
Final energy (eV/atom): -2.306
ΔH_f (0 K) (eV per atom): -0.379

abc: 3.8883 3.8883 12.3816
angles: 90.00 90.00 90.00
Space group P4/mmm (No. 123)
Unique sites:
K1 0.0000 0.0000 0.0000 (multiplicity 1)
Pr1 0.0000 0.0000 0.3433 (multiplicity 2)
Hg1 0.5000 0.5000 0.2009 (multiplicity 2)
Hg2 0.5000 0.5000 0.5000 (multiplicity 1)

=====

Record 13
Density functional theory data (PBE-GGA) for an optimized crystal structure of KPrHg2.

Values from the calculation:
Final energy (eV/atom): -1.807
ΔH_f (0 K) (eV per atom): -0.187

abc: 4.1345 4.1345 28.6755
angles: 90.00 90.00 120.00
Space group R-3m (No. 166, hexagonal axes)
Unique sites:
K1 0.0000 0.0000 0.0000 (multiplicity 3)
Pr1 0.0000 0.0000 0.5000 (multiplicity 3)
Hg1 0.0000 0.0000 0.2406 (multiplicity 6)

=====

Record 14
Density functional theory data (PBE-GGA) for an optimized crystal structure of KPrHg2.

Values from the calculation:
Final energy (eV/atom): -1.828
ΔH_f (0 K) (eV per atom): -0.208

abc: 7.8461 7.8461 7.8461
angles: 90.00 90.00 90.00
Space group Fm-3m (No. 225)
Unique sites:
K1 0.0000 0.0000 0.0000 (multiplicity 4)
Pr1 0.0000 0.0000 0.5000 (multiplicity 4)
Hg1 0.2500 0.2500 0.2500 (multiplicity 8)

=====

Record 15
Density functional theory data (PBE-GGA) for an optimized crystal structure of KPr5Hg6.

Values from the calculation:
Final energy (eV/atom): -2.632
ΔH_f (0 K) (eV per atom): -0.398

abc: 5.4919 7.7725 16.4911
angles: 90.00 90.00 90.00
Space group Immm (No. 71)
Unique sites:
K1 0.0000 0.0000 0.0000 (multiplicity 2)
Pr1 0.0000 0.0000 0.3307 (multiplicity 4)
Pr2 0.0000 0.5000 0.0000 (multiplicity 2)
Pr3 0.0000 0.5000 0.3427 (multiplicity 4)
Hg1 0.0000 0.2301 0.5000 (multiplicity 4)
Hg2 0.0000 0.2605 0.1737 (multiplicity 8)

=====

Record 16
Density functional theory data (PBE-GGA) for an optimized crystal structure of KPrHg2.

Values from the calculation:
Final energy (eV/atom): -1.925
ΔH_f (0 K) (eV per atom): -0.305

abc: 3.9122 3.9122 8.4417
angles: 90.00 90.00 90.00
Space group P4/mmm (No. 123)
Unique sites:
K1 0.0000 0.0000 0.0000 (multiplicity 1)
Pr1 0.0000 0.0000 0.5000 (multiplicity 1)
Hg1 0.5000 0.5000 0.2881 (multiplicity 2)

=====

Record 17
Density functional theory data (PBE-GGA) for an optimized crystal structure of K2PrHg2Te4.

Values from the calculation:
ΔE_f (raw) (eV per atom): -0.79
Final energy (eV/atom): -3.027

abc: 17.0958 4.7676 8.5583
angles: 90.00 110.50 90.00
Space group C2/m (No. 12)
Unique sites:
K1 0.1314 0.0000 0.0828 (multiplicity 4)
Pr1 0.0000 0.0000 0.5000 (multiplicity 2)
Hg1 0.1681 0.5000 0.4790 (multiplicity 4)
Te1 0.0039 0.5000 0.7598 (multiplicity 4)
Te2 0.2018 0.0000 0.7000 (multiplicity 4)

=====

Record 18
Density functional theory data (PBE-GGA) for an optimized crystal structure of KPr2HgTe4.

Values from the calculation:
ΔE_f (raw) (eV per atom): -1.05
Final energy (eV/atom): -3.990

abc: 4.6691 15.3969 16.3034
angles: 90.00 90.00 90.00
Space group Cmcm (No. 63)
Unique sites:
K1 0.0000 0.1341 0.2500 (multiplicity 4)
Pr1 0.0000 0.3739 0.0631 (multiplicity 8)
Hg1 0.0000 0.1515 0.7500 (multiplicity 4)
Te1 0.0000 0.0000 0.0000 (multiplicity 4)
Te2 0.0000 0.2679 0.6074 (multiplicity 8)
Te3 0.0000 0.4581 0.2500 (multiplicity 4)

=====

Record 19
Density functional theory data (PBE-GGA) for an optimized crystal structure of KHg4Pt.

Values from the calculation:
Final energy (eV/atom): -1.236
ΔH_f (0 K) (eV per atom): 0.155

abc: 8.4236 8.4236 8.4236
angles: 90.00 90.00 90.00
Space group F-43m (No. 216)
Unique sites:
K1 0.0000 0.0000 0.0000 (multiplicity 4)
Hg1 0.1242 0.1242 0.3758 (multiplicity 16)
Pt1 0.2500 0.2500 0.7500 (multiplicity 4)

=====

Record 20
Density functional theory data (PBE-GGA) for an optimized crystal structure of K3Hg3Pt.

Values from the calculation:
Final energy (eV/atom): -1.679
ΔH_f (0 K) (eV per atom): -0.216

abc: 20.5888 7.0567 14.1421
angles: 90.00 90.00 90.00
Space group Cmce (No. 64)
Unique sites:
K1 0.0000 0.2252 0.1777 (multiplicity 8)
K2 0.1673 0.1881 0.3619 (multiplicity 16)
Hg1 0.0000 0.1758 0.4271 (multiplicity 8)
Hg2 0.1623 0.1825 0.1020 (multiplicity 16)
Pt1 0.0662 0.0000 0.0000 (multiplicity 8)